w:
Material: Hf3Zr3CuSb2
Method: DFT, PBE
State: optimized geometry

Cell lengths 7.7334, 7.7334, 3.7163 Å; angles 90.00, 90.00, 120.00 degrees
Space group P-62m (No. 189)
Symmetry-distinct sites (fractional):
Hf  0.0000  0.6005  0.0000 (multiplicity 3)
Zr  0.0000  0.2455  0.5000 (multiplicity 3)
Cu  0.0000  0.0000  0.0000 (multiplicity 1)
Sb  0.3333  0.6667  0.5000 (multiplicity 2)

Values from the calculation:
Calculated volume in A^3/atom: 21.39

---

x:
Material: Hf3Zr3CuSb2
Method: DFT, PBE
State: optimized geometry

Cell lengths 7.6931, 7.6931, 3.7427 Å; angles 90.00, 90.00, 120.00 degrees
Space group P-62m (No. 189)
Symmetry-distinct sites (fractional):
Hf  0.0000  0.2405  0.0000 (multiplicity 3)
Zr  0.0000  0.5982  0.5000 (multiplicity 3)
Cu  0.0000  0.0000  0.5000 (multiplicity 1)
Sb  0.3333  0.6667  0.0000 (multiplicity 2)

Values from the calculation:
Calculated volume in A^3/atom: 21.31

---

Most stable to least stable: x, w